[1]
Material: Na2UTcO8
Method: DFT, GGA-PBE
State: optimized geometry

For the formation energy (no corrections), the calculation gives -1.865 eV per atom. Its crystal system is monoclinic.

It has space group P2/m (No. 10), with a = 5.163 Å, b = 6.497 Å, c = 5.174 Å, α = 90.00°, β = 92.57° and γ = 90.00°. The asymmetric unit holds Na at (0.000, 0.240, 0.000), U at (0.500, 0.500, 0.500), Tc at (0.500, 0.000, 0.500), O at (0.239, 0.500, 0.237), O at (0.248, 0.000, 0.246) and O at (0.327, 0.226, 0.671).

***

[2]
Material: TbCeHg6
Method: DFT, GGA-PBE
State: optimized geometry

The formation energy from the elements comes out at -31.43 kJ per mole of atoms. Its crystal system is orthorhombic.

It has space group Amm2 (No. 38), with a = 5.041 Å, b = 6.769 Å, c = 11.714 Å, α = 90.00°, β = 90.00° and γ = 90.00°. The asymmetric unit holds Tb at (0.000, 0.000, 0.000), Ce at (0.500, 0.000, 0.330), Hg at (0.000, 0.000, 0.500), Hg at (0.000, 0.244, 0.747), Hg at (0.500, 0.000, 0.833) and Hg at (0.500, 0.248, 0.581).

***

[3]
Material: MgHg3Pt
Method: DFT, GGA-PBE
State: optimized geometry

The formation energy from the elements comes out at 10.53 kJ per mole of atoms. Its crystal system is cubic. For the distance to the lowest polymorph of the same formula, the calculation gives 0.000 eV per atom.

It has space group Pm-3m (No. 221), with a = 5.293 Å, b = 5.293 Å, c = 5.293 Å, α = 90.00°, β = 90.00° and γ = 90.00°. The asymmetric unit holds Mg at (0.000, 0.000, 0.000), Hg at (0.000, 0.500, 0.500) and Pt at (0.500, 0.500, 0.500).

***

[4]
Material: ScTl2FeCo
Method: DFT, GGA-PBE
State: optimized geometry

The formation energy from the elements comes out at 137.78 kJ per mole of atoms. Its crystal system is tetragonal.

It has space group P4/mmm (No. 123), with a = 5.572 Å, b = 5.572 Å, c = 4.216 Å, α = 90.00°, β = 90.00° and γ = 90.00°. The asymmetric unit holds Sc at (0.000, 0.000, 0.000), Tl at (0.000, 0.500, 0.000), Fe at (0.000, 0.000, 0.500) and Co at (0.500, 0.500, 0.500).

***

[5]
Material: CaZnIn2
Method: DFT, GGA-PBE
State: optimized geometry

The formation energy from the elements comes out at -15.36 kJ per mole of atoms. Its crystal system is monoclinic.

It has space group Cm (No. 8), with a = 10.447 Å, b = 3.708 Å, c = 5.471 Å, α = 90.00°, β = 106.11° and γ = 90.00°. The asymmetric unit holds Ca at (0.000, 0.000, 0.000), Zn at (0.249, 0.500, 0.246), In at (0.234, 0.000, 0.716) and In at (0.477, 0.000, 0.474).

***

[6]
Material: Ba2MgTcO6
Method: DFT, GGA-PBE
State: optimized geometry

For the formation energy (no corrections), the calculation gives -2.317 eV per atom. Its crystal system is cubic.

It has space group Fm-3m (No. 225), with a = 8.167 Å, b = 8.167 Å, c = 8.167 Å, α = 90.00°, β = 90.00° and γ = 90.00°. The asymmetric unit holds Ba at (0.250, 0.250, 0.250), Mg at (0.000, 0.000, 0.000), Tc at (0.000, 0.000, 0.500) and O at (0.000, 0.000, 0.261).

***

[7]
Material: Rb2Na12Au7
Method: DFT, GGA-PBE
State: optimized geometry

The formation energy from the elements comes out at -22.30 kJ per mole of atoms. Its crystal system is hexagonal.

It has space group P-6 (No. 174), with a = 12.1614 Å, b = 12.1614 Å, c = 4.7075 Å, α = 90.00°, β = 90.00° and γ = 120.00°. The asymmetric unit holds Rb at (0.0000, 0.0000, 0.0000), Rb at (0.3333, 0.6667, 0.5000), Na at (0.0478, 0.2877, 0.5000), Na at (0.1060, 0.7198, 0.0000), Na at (0.3892, 0.1804, 0.0000), Na at (0.5428, 0.4246, 0.5000), Au at (0.0651, 0.4561, 0.0000), Au at (0.2535, 0.2142, 0.5000) and Au at (0.6667, 0.3333, 0.0000).

***

[8]
Material: Pm2Ho6Er3
Method: DFT, GGA-PBE
State: optimized geometry

The formation energy from the elements comes out at 26.80 kJ per mole of atoms. Its crystal system is tetragonal. For the distance to the lowest polymorph of the same formula, the calculation gives 0.092 eV per atom.

It has space group I4/mmm (No. 139), with a = 4.708 Å, b = 4.708 Å, c = 33.027 Å, α = 90.00°, β = 90.00° and γ = 90.00°. The asymmetric unit holds Pm at (0.000, 0.000, 0.046), Ho at (0.000, 0.000, 0.196), Ho at (0.000, 0.500, 0.122), Er at (0.000, 0.000, 0.299) and Er at (0.000, 0.000, 0.500).

***

[9]
Material: PrPaRh2
Method: DFT, GGA-PBE
State: optimized geometry

The formation energy from the elements comes out at -67.02 kJ per mole of atoms. Its crystal system is tetragonal. For the distance to the lowest polymorph of the same formula, the calculation gives 0.019 eV per atom.

It has space group P4/mmm (No. 123), with a = 3.489 Å, b = 3.489 Å, c = 7.245 Å, α = 90.00°, β = 90.00° and γ = 90.00°. The asymmetric unit holds Pr at (0.000, 0.000, 0.000), Pa at (0.000, 0.000, 0.500) and Rh at (0.500, 0.500, 0.298).

***

[10]
Material: TbAlS3
Method: DFT, GGA-PBE
State: optimized geometry

For the formation energy (no corrections), the calculation gives -1.552 eV per atom. Its crystal system is orthorhombic.

It has space group Ama2 (No. 40), with a = 3.882 Å, b = 22.398 Å, c = 6.410 Å, α = 90.00°, β = 90.00° and γ = 90.00°. The asymmetric unit holds Tb at (0.250, 0.175, 0.000), Al at (0.250, 0.374, 0.932), S at (0.250, 0.084, 0.297), S at (0.250, 0.282, 0.773) and S at (0.250, 0.378, 0.279).

***

[11]
Material: RbPrPb2I8
Method: DFT, GGA-PBE
State: optimized geometry

For the formation energy (no corrections), the calculation gives -1.004 eV per atom. Its crystal system is triclinic.

It has space group P-1 (No. 2), with a = 7.488 Å, b = 7.911 Å, c = 9.913 Å, α = 89.97°, β = 89.92° and γ = 89.05°. The asymmetric unit holds Rb at (0.000, 0.000, 0.000), Pr at (0.000, 0.000, 0.500), Pb at (0.500, 0.500, 0.248), I at (0.242, 0.332, 0.500), I at (0.254, 0.843, 0.721), I at (0.255, 0.844, 0.279) and I at (0.267, 0.375, 0.000).

***

[12]
Material: CeVH6
Method: DFT, GGA-PBE
State: optimized geometry

Its crystal system is monoclinic.

It has space group C2/m (No. 12), with a = 7.617 Å, b = 4.390 Å, c = 4.914 Å, α = 90.00°, β = 121.30° and γ = 90.00°. The asymmetric unit holds Ce at (0.000, 0.000, 0.000), V at (0.000, 0.500, 0.500), H at (0.089, 0.500, 0.235) and H at (0.177, 0.235, 0.768).

***

For each record above, in turn, the calculated E_tot values are -86.333 -14.981 -7.995 -19.493 -9.389 -68.726 -45.558 -47.601 -31.757 -28.514 -37.608 -36.039 eV/f.u..
For each record above, in turn, the calculated DOS at the Fermi energy values are 0.521 1.536 0.335 1.799 0.441 0.388 0.421 1.455 1.021 0.000 0.000 0.177 states/eV per atom.